# TiIr6W, optimized geometry, DFT PBE
# VASP energy, eV per atom: -9.802
data_TiIr6W
_chemical_formula_sum 'Ti1 Ir6 W1'
_space_group_name_H-M_alt 'P 4/m m m'
_space_group_IT_number 123
_space_group_name_Hall '-P 4 2'
_cell_length_a 5.4949
_cell_length_b 5.4949
_cell_length_c 3.8865
_cell_angle_alpha 90.00
_cell_angle_beta 90.00
_cell_angle_gamma 90.00
loop_
_atom_site_label
_atom_site_type_symbol
_atom_site_fract_x
_atom_site_fract_y
_atom_site_fract_z
Ti1 Ti 0.0000 0.0000 0.0000
Ir1 Ir 0.0000 0.5000 0.0000
Ir2 Ir 0.2518 0.2518 0.5000
W1 W 0.5000 0.5000 0.0000

# Pr2HoThTe5, optimized geometry, DFT PBE
# Uncorrected formation energy, eV/atom: -0.72
data_Pr2HoThTe5
_chemical_formula_sum 'Pr2 Ho1 Th1 Te5'
_space_group_name_H-M_alt 'P 4/m m m'
_space_group_IT_number 123
_space_group_name_Hall '-P 4 2'
_cell_length_a 5.4911
_cell_length_b 5.4911
_cell_length_c 11.8236
_cell_angle_alpha 90.00
_cell_angle_beta 90.00
_cell_angle_gamma 90.00
loop_
_atom_site_label
_atom_site_type_symbol
_atom_site_fract_x
_atom_site_fract_y
_atom_site_fract_z
Pr1 Pr 0.0000 0.0000 0.1593
Ho1 Ho 0.5000 0.5000 0.0000
Th1 Th 0.5000 0.5000 0.5000
Te1 Te 0.0000 0.0000 0.5000
Te2 Te 0.0000 0.5000 0.0000
Te3 Te 0.5000 0.5000 0.2517

# Nd2Ho4Tl3H2, optimized geometry, DFT PBE
# VASP energy, eV per atom: -4.091
data_Nd2Ho4Tl3H2
_chemical_formula_sum 'Nd4 Ho8 Tl6 H4'
_space_group_name_H-M_alt 'I 4/m m m'
_space_group_IT_number 139
_space_group_name_Hall '-I 4 2'
_cell_length_a 4.7914
_cell_length_b 4.7914
_cell_length_c 24.5990
_cell_angle_alpha 90.00
_cell_angle_beta 90.00
_cell_angle_gamma 90.00
loop_
_atom_site_label
_atom_site_type_symbol
_atom_site_fract_x
_atom_site_fract_y
_atom_site_fract_z
Nd1 Nd 0.0000 0.0000 0.1964
Ho1 Ho 0.0000 0.5000 0.0822
Tl1 Tl 0.0000 0.0000 0.3296
Tl2 Tl 0.0000 0.0000 0.5000
H1 H 0.0000 0.0000 0.0973

# PbC, optimized geometry, DFT PBE
# Excess energy over the best structure of this formula in the dataset, meV/atom: 1518
data_PbC
_chemical_formula_sum 'Pb3 C3'
_space_group_name_H-M_alt 'P 6/m m m'
_space_group_IT_number 191
_space_group_name_Hall '-P 6 2'
_cell_length_a 6.5117
_cell_length_b 6.5117
_cell_length_c 3.4844
_cell_angle_alpha 90.00
_cell_angle_beta 90.00
_cell_angle_gamma 120.00
loop_
_atom_site_label
_atom_site_type_symbol
_atom_site_fract_x
_atom_site_fract_y
_atom_site_fract_z
Pb1 Pb 0.0000 0.5000 0.0000
C1 C 0.0000 0.0000 0.0000
C2 C 0.3333 0.6667 0.5000

# K2LiCl, optimized geometry, DFT PBE
# Excess energy over the best structure of this formula in the dataset, meV/atom: 241
# Uncorrected formation energy, eV/atom: -0.58
data_K2LiCl
_chemical_formula_sum 'K8 Li4 Cl4'
_space_group_name_H-M_alt 'F m -3 m'
_space_group_IT_number 225
_space_group_name_Hall '-F 4 2 3'
_cell_length_a 8.5508
_cell_length_b 8.5508
_cell_length_c 8.5508
_cell_angle_alpha 90.00
_cell_angle_beta 90.00
_cell_angle_gamma 90.00
loop_
_atom_site_label
_atom_site_type_symbol
_atom_site_fract_x
_atom_site_fract_y
_atom_site_fract_z
K1 K 0.2500 0.2500 0.2500
Li1 Li 0.0000 0.0000 0.0000
Cl1 Cl 0.0000 0.0000 0.5000

# Li2HfAl9, optimized geometry, DFT PBE
# VASP energy, eV per atom: -4.151
data_Li2HfAl9
_chemical_formula_sum 'Li2 Hf1 Al9'
_space_group_name_H-M_alt 'P 4/m m m'
_space_group_IT_number 123
_space_group_name_Hall '-P 4 2'
_cell_length_a 4.0311
_cell_length_b 4.0311
_cell_length_c 12.2274
_cell_angle_alpha 90.00
_cell_angle_beta 90.00
_cell_angle_gamma 90.00
loop_
_atom_site_label
_atom_site_type_symbol
_atom_site_fract_x
_atom_site_fract_y
_atom_site_fract_z
Li1 Li 0.0000 0.0000 0.1635
Hf1 Hf 0.0000 0.0000 0.5000
Al1 Al 0.0000 0.5000 0.0000
Al2 Al 0.0000 0.5000 0.3267
Al3 Al 0.5000 0.5000 0.1652
Al4 Al 0.5000 0.5000 0.5000

# LaBHPd6, optimized geometry, DFT PBE
# VASP energy, eV per atom: -5.510
data_LaBHPd6
_chemical_formula_sum 'La4 B4 H4 Pd24'
_space_group_name_H-M_alt 'I m m a'
_space_group_IT_number 74
_space_group_name_Hall '-I 2b 2'
_cell_length_a 7.4125
_cell_length_b 7.4992
_cell_length_c 10.6130
_cell_angle_alpha 90.00
_cell_angle_beta 90.00
_cell_angle_gamma 90.00
loop_
_atom_site_label
_atom_site_type_symbol
_atom_site_fract_x
_atom_site_fract_y
_atom_site_fract_z
La1 La 0.0000 0.2500 0.1097
B1 B 0.0000 0.0000 0.5000
H1 H 0.2500 0.2500 0.7500
Pd1 Pd 0.0000 0.2500 0.4090
Pd2 Pd 0.0000 0.2500 0.8101
Pd3 Pd 0.2080 0.0544 0.6244

# BaSn4Pb8, optimized geometry, DFT PBE
# VASP energy, eV per atom: -3.758
data_BaSn4Pb8
_chemical_formula_sum 'Ba2 Sn8 Pb16'
_space_group_name_H-M_alt 'I 4/m m m'
_space_group_IT_number 139
_space_group_name_Hall '-I 4 2'
_cell_length_a 11.5135
_cell_length_b 11.5135
_cell_length_c 6.3919
_cell_angle_alpha 90.00
_cell_angle_beta 90.00
_cell_angle_gamma 90.00
loop_
_atom_site_label
_atom_site_type_symbol
_atom_site_fract_x
_atom_site_fract_y
_atom_site_fract_z
Ba1 Ba 0.0000 0.0000 0.0000
Sn1 Sn 0.2500 0.2500 0.2500
Pb1 Pb 0.0000 0.2153 0.5000
Pb2 Pb 0.0000 0.3530 0.0000

# InCo2Br, optimized geometry, DFT PBE
# Excess energy over the best structure of this formula in the dataset, meV/atom: 449
# Uncorrected formation energy, eV/atom: 0.70
data_InCo2Br
_chemical_formula_sum 'In4 Co8 Br4'
_space_group_name_H-M_alt 'F m -3 m'
_space_group_IT_number 225
_space_group_name_Hall '-F 4 2 3'
_cell_length_a 6.3698
_cell_length_b 6.3698
_cell_length_c 6.3698
_cell_angle_alpha 90.00
_cell_angle_beta 90.00
_cell_angle_gamma 90.00
loop_
_atom_site_label
_atom_site_type_symbol
_atom_site_fract_x
_atom_site_fract_y
_atom_site_fract_z
In1 In 0.0000 0.0000 0.0000
Co1 Co 0.2500 0.2500 0.2500
Br1 Br 0.0000 0.0000 0.5000

# LaMnCu2, optimized geometry, DFT PBE
# VASP energy, eV per atom: -5.559
data_LaMnCu2
_chemical_formula_sum 'La2 Mn2 Cu4'
_space_group_name_H-M_alt 'C 1 m 1'
_space_group_IT_number 8
_cell_length_a 7.3629
_cell_length_b 4.2518
_cell_length_c 5.5658
_cell_angle_alpha 90.00
_cell_angle_beta 116.28
_cell_angle_gamma 90.00
loop_
_space_group_symop_operation_xyz
'x,y,z'
'x,-y,z'
'x+1/2,y+1/2,z'
'x+1/2,-y+1/2,z'
loop_
_atom_site_label
_atom_site_type_symbol
_atom_site_fract_x
_atom_site_fract_y
_atom_site_fract_z
La1 La 0.0000 0.0000 0.0000
Mn1 Mn 0.1950 0.0000 0.5847
Cu1 Cu 0.3014 0.5000 0.4045
Cu2 Cu 0.4981 0.0000 0.4942

# Ta3B3W, optimized geometry, DFT PBE
# VASP energy, eV per atom: -9.967
data_Ta3B3W
_chemical_formula_sum 'Ta12 B12 W4'
_space_group_name_H-M_alt 'C 1 2/m 1'
_space_group_IT_number 12
_cell_length_a 6.8328
_cell_length_b 9.3107
_cell_length_c 5.9368
_cell_angle_alpha 90.00
_cell_angle_beta 96.90
_cell_angle_gamma 90.00
loop_
_space_group_symop_operation_xyz
'x,y,z'
'-x,-y,-z'
'-x,y,-z'
'x,-y,z'
'x+1/2,y+1/2,z'
'-x+1/2,-y+1/2,-z'
'-x+1/2,y+1/2,-z'
'x+1/2,-y+1/2,z'
loop_
_atom_site_label
_atom_site_type_symbol
_atom_site_fract_x
_atom_site_fract_y
_atom_site_fract_z
Ta1 Ta 0.0000 0.1588 0.0000
Ta2 Ta 0.0000 0.2378 0.5000
Ta3 Ta 0.1520 0.5000 0.1609
B1 B 0.0476 0.0000 0.6551
B2 B 0.1434 0.3348 0.8377
W1 W 0.2314 0.5000 0.6327

# Na2Sr2Ag15, optimized geometry, DFT PBE
# VASP energy, eV per atom: -2.694
data_Na2Sr2Ag15
_chemical_formula_sum 'Na6 Sr6 Ag45'
_space_group_name_H-M_alt 'R -3 m'
_space_group_IT_number 166
_space_group_name_Hall '-R 3 2"'
_cell_length_a 9.8304
_cell_length_b 9.8304
_cell_length_c 14.4788
_cell_angle_alpha 90.00
_cell_angle_beta 90.00
_cell_angle_gamma 120.00
loop_
_atom_site_label
_atom_site_type_symbol
_atom_site_fract_x
_atom_site_fract_y
_atom_site_fract_z
Na1 Na 0.0000 0.0000 0.0966
Sr1 Sr 0.0000 0.0000 0.3473
Ag1 Ag 0.0000 0.3075 0.0000
Ag2 Ag 0.0000 0.5000 0.5000
Ag3 Ag 0.0040 0.5020 0.1559

no.,calculated volume (Å³/cell),M_tot (Bohr magnetons per cell)
1,117.35,0.0
2,356.51,0.2
3,564.73,0.0
4,127.95,2.0
5,625.21,0.0
6,198.69,0.0
7,589.95,0.0
8,847.32,0.0
9,258.45,7.9
10,156.23,6.1
11,374.95,0.0
12,1211.73,0.0